(1)
Material: Ni5C7
Method: DFT, PBE
State: relaxed

Space group: I4mm
Raw total energy (eV per atom): -6.866
Magnetization (μB per formula unit): 0.0

a b c (Å): 5.161 5.161 5.161
angles (deg): 100.94 100.94 128.34
Element x y z (fractional)
C  0.018  0.518  0.500
Ni  0.884  0.884  0.000
Ni  0.278  0.673  0.000
Ni  0.673  0.278  0.000
C  0.106  0.769  0.337
Ni  0.278  0.278  0.605
C  0.433  0.769  0.663
C  0.769  0.433  0.663
Ni  0.673  0.673  0.395
C  0.300  0.300  0.000
C  0.769  0.106  0.337
C  0.518  0.018  0.500

---

(2)
Material: Ni2C
Method: DFT, PBE
State: relaxed

Space group: P-31m
Magnetization (μB per formula unit): 0.0
Energy above the lowest structure with this stoichiometry (meV/atom): 10

a b c (Å): 4.870 4.870 4.116
angles (deg): 90.00 90.00 120.00
Element x y z (fractional)
C  0.333  0.667  0.500
Ni  0.000  0.336  0.252
Ni  0.664  0.664  0.252
C  0.667  0.333  0.500
Ni  0.000  0.664  0.748
C  0.000  0.000  0.000
Ni  0.336  0.000  0.252
Ni  0.336  0.336  0.748
Ni  0.664  0.000  0.748

---

(3)
Material: NiC5
Method: DFT, PBE
State: relaxed

Space group: P4/mmm
Magnetization (μB per formula unit): 0.3
Energy above the lowest structure with this stoichiometry (meV/atom): 1636

a b c (Å): 2.412 2.412 7.763
angles (deg): 90.00 90.00 90.00
Site moments in Bohr magnetons follow the coordinates.
Element x y z (fractional)
C  0.000  0.000  0.322  0.00
C  0.500  0.500  0.751  0.02
C  0.000  0.000  0.500  0.04
Ni  0.500  0.500  0.000  0.20
C  0.000  0.000  0.678  0.00
C  0.500  0.500  0.249  0.02

---

(4)
Material: NiC4
Method: DFT, PBE
State: relaxed

Space group: P-3m1
Magnetization (μB per formula unit): 0.0
Energy above the lowest structure with this stoichiometry (meV/atom): 0

a b c (Å): 2.635 2.635 5.899
angles (deg): 90.00 90.00 120.00
Element x y z (fractional)
C  0.667  0.333  0.547
C  0.667  0.333  0.796
C  0.333  0.667  0.453
Ni  0.000  0.000  0.000
C  0.333  0.667  0.204

---

(5)
Material: NiC3
Method: DFT, PBE
State: relaxed

Space group: P6_3/mmc
Magnetization (μB per formula unit): 1.3
Energy above the lowest structure with this stoichiometry (meV/atom): 1728

a b c (Å): 3.927 3.927 13.249
angles (deg): 90.00 90.00 120.00
Site moments in Bohr magnetons follow the coordinates.
Element x y z (fractional)
C  0.787  0.213  0.250  0.23
C  0.500  0.500  0.500  0.12
Ni  0.000  0.000  0.000  0.37
C  0.000  0.500  0.500  0.12
C  0.787  0.574  0.250  0.23
Ni  0.000  0.000  0.500  0.37
C  0.500  0.500  0.000  0.12
C  0.500  0.000  0.500  0.12
C  0.213  0.426  0.750  0.23
C  0.213  0.787  0.750  0.23
C  0.500  0.000  0.000  0.12
C  0.574  0.787  0.750  0.23
Ni  0.667  0.333  0.750  0.77
Ni  0.333  0.667  0.250  0.77
C  0.000  0.500  0.000  0.12
C  0.426  0.213  0.250  0.23

---

(6)
Material: NpNiC
Method: DFT, PBE
State: relaxed

Space group: P4/mmm
Magnetization (μB per formula unit): 3.6
Energy above the lowest structure with this stoichiometry (meV/atom): 0

a b c (Å): 4.924 5.085 4.922
angles (deg): 118.94 90.00 118.96
Site moments in Bohr magnetons follow the coordinates.
Element x y z (fractional)
C  0.959  0.919  0.418  -0.08
Ni  0.709  0.419  0.168  0.07
Np  0.460  0.919  0.418  3.35
Np  0.960  0.919  0.918  3.35
Ni  0.209  0.419  0.668  0.07
C  0.459  0.919  0.918  -0.08

---

(7)
Material: NpNiC2
Method: DFT, PBE
State: relaxed

Space group: R-3m
Raw total energy (eV per atom): -8.611
Magnetization (μB per formula unit): 0.0

a b c (Å): 3.622 3.622 5.576
angles (deg): 71.05 71.05 60.00
Element x y z (fractional)
Ni  0.000  0.000  0.000
Np  0.500  0.500  0.500
C  0.883  0.883  0.350
C  0.117  0.117  0.650

---

(8)
Material: NpNiC
Method: DFT, PBE
State: relaxed

Space group: P-6m2
Magnetization (μB per formula unit): 2.9
Energy above the lowest structure with this stoichiometry (meV/atom): 47

a b c (Å): 3.578 3.574 3.574
angles (deg): 120.00 90.00 90.00
Site moments in Bohr magnetons follow the coordinates.
Element x y z (fractional)
Ni  0.833  0.333  0.667  -0.22
Np  0.333  0.667  0.333  3.13
C  0.834  0.000  0.000  -0.13